Entry 1:
The following is a PBE calculation of a geometry-optimized Zr2FeS structure, from Alexandria.

Computed properties:
**Raw total energy**: -7.51 eV per atom
**Calculated volume**: 77 Å³/f.u.

Unit cell a=8.6017 b=8.6017 c=8.6017 alpha=21.77 beta=21.77 gamma=21.77
Sites, in units of the cell vectors:
Zr1 0.0940 0.0940 0.0940
Zr2 0.9060 0.9060 0.9060
Fe1 0.0000 0.0000 0.0000
S1 0.5000 0.5000 0.5000

***

Entry 2:
The following is a PBE calculation of a geometry-optimized Er3TmPd3 structure, from Alexandria.

Computed properties:
**Offset from the most stable computed form**: 12 meV/atom
**Raw total energy**: -5.55 eV per atom
**Calculated volume**: 166 Å³/f.u.

Unit cell a=6.8889 b=6.8889 c=7.0409 alpha=91.46 beta=91.46 gamma=97.36
Sites, in units of the cell vectors:
Er1 0.1761 0.8239 0.0000
Er2 0.2515 0.7485 0.5000
Er3 0.3485 0.3485 0.1355
Er4 0.6515 0.6515 0.8645
Er5 0.7485 0.2515 0.5000
Er6 0.8239 0.1761 0.0000
Tm1 0.2617 0.2617 0.6233
Tm2 0.7383 0.7383 0.3767
Pd1 0.0148 0.5017 0.7792
Pd2 0.0618 0.0618 0.3079
Pd3 0.4983 0.9852 0.2208
Pd4 0.5017 0.0148 0.7792
Pd5 0.9382 0.9382 0.6921
Pd6 0.9852 0.4983 0.2208

***

Entry 3:
The following is a PBE calculation of a geometry-optimized NdHo2Tl3S6 structure, from Alexandria.

Computed properties:
**Raw total energy**: -5.29 eV per atom
**Calculated volume**: 323 Å³/f.u.

Unit cell a=7.0490 b=7.0490 c=7.8727 alpha=98.58 beta=98.58 gamma=119.99
Sites, in units of the cell vectors:
Nd1 0.0000 0.0000 0.0000
Ho1 0.3334 0.6666 0.0000
Ho2 0.6666 0.3334 0.0000
Tl1 0.1656 0.8344 0.5000
Tl2 0.5000 0.5000 0.5000
Tl3 0.8344 0.1656 0.5000
S1 0.0666 0.4101 0.1999
S2 0.2774 0.2774 0.8021
S3 0.4101 0.0666 0.1999
S4 0.5899 0.9334 0.8001
S5 0.7226 0.7226 0.1979
S6 0.9334 0.5899 0.8001

***

Entry 4:
The following is a PBE calculation of a geometry-optimized AcErTlHg structure, from Alexandria.

Computed properties:
**Offset from the most stable computed form**: 0 meV/atom
**Raw total energy**: -3.23 eV per atom
**Calculated volume**: 119 Å³/f.u.

Unit cell a=3.8746 b=3.8746 c=7.9579 alpha=90.00 beta=90.00 gamma=90.00
Sites, in units of the cell vectors:
Ac1 0.0000 0.0000 0.0000
Er1 0.0000 0.0000 0.4815
Tl1 0.5000 0.5000 0.7131
Hg1 0.5000 0.5000 0.2819

***

Entry 5:
The following is a PBE calculation of a geometry-optimized Cs2SnSeBr6 structure, from Alexandria.

Computed properties:
**Raw total energy**: -2.88 eV per atom
**Calculated volume**: 403 Å³/f.u.

Unit cell a=8.6398 b=8.6398 c=8.6398 alpha=126.47 beta=126.47 gamma=79.12
Sites, in units of the cell vectors:
Cs1 0.2500 0.7500 0.5000
Cs2 0.7500 0.2500 0.5000
Sn1 0.0000 0.0000 0.0000
Se1 0.5000 0.5000 0.0000
Br1 0.2144 0.2144 0.0000
Br2 0.2603 0.2603 0.5205
Br3 0.2603 0.7397 0.0000
Br4 0.7397 0.2603 0.0000
Br5 0.7397 0.7397 0.4795
Br6 0.7856 0.7856 0.0000

***

Entry 6:
The following is a PBE calculation of a geometry-optimized Tl2In8Hg structure, from Alexandria.

Computed properties:
**Raw total energy**: -2.43 eV per atom
**Calculated volume**: 303 Å³/f.u.

Unit cell a=9.4473 b=9.4473 c=7.3948 alpha=101.53 beta=101.53 gamma=27.99
Sites, in units of the cell vectors:
Tl1 0.2253 0.2253 0.1416
Tl2 0.7747 0.7747 0.8584
In1 0.0430 0.0430 0.2346
In2 0.1331 0.1331 0.6822
In3 0.3226 0.3226 0.5849
In4 0.4132 0.4132 0.0449
In5 0.5868 0.5868 0.9551
In6 0.6774 0.6774 0.4151
In7 0.8669 0.8669 0.3178
In8 0.9570 0.9570 0.7654
Hg1 0.5000 0.5000 0.5000

***

Entry 7:
The following is a PBE calculation of a geometry-optimized Nd2GaGe2 structure, from Alexandria.

Computed properties:
**Raw total energy**: -5.10 eV per atom
**Calculated volume**: 120 Å³/f.u.

Unit cell a=6.0242 b=6.0242 c=10.9211 alpha=112.59 beta=112.59 gamma=41.42
Sites, in units of the cell vectors:
Nd1 0.0961 0.0961 0.4097
Nd2 0.2962 0.2962 0.8498
Nd3 0.7038 0.7038 0.1502
Nd4 0.9039 0.9039 0.5903
Ga1 0.4550 0.4550 0.2049
Ga2 0.5450 0.5450 0.7951
Ge1 0.0611 0.0611 0.9265
Ge2 0.3481 0.3481 0.3672
Ge3 0.6519 0.6519 0.6328
Ge4 0.9389 0.9389 0.0735

***

Entry 8:
The following is a PBE calculation of a geometry-optimized Sr4Li2Si4N8O structure, from Alexandria.

Computed properties:
**Raw total energy**: -6.78 eV per atom
**Calculated volume**: 247 Å³/f.u.

Unit cell a=9.3852 b=9.3852 c=5.6115 alpha=90.00 beta=90.00 gamma=90.00
Sites, in units of the cell vectors:
Sr1 0.0545 0.2655 0.0000
Sr2 0.2345 0.4455 0.5000
Sr3 0.2655 0.9455 0.0000
Sr4 0.4455 0.7655 0.5000
Sr5 0.5545 0.2345 0.5000
Sr6 0.7345 0.0545 0.0000
Sr7 0.7655 0.5545 0.5000
Sr8 0.9455 0.7345 0.0000
Li1 0.0000 0.0000 0.3178
Li2 0.0000 0.0000 0.6822
Li3 0.5000 0.5000 0.1822
Li4 0.5000 0.5000 0.8178
Si1 0.1211 0.7699 0.5000
Si2 0.2301 0.1211 0.5000
Si3 0.2699 0.6211 0.0000
Si4 0.3789 0.2699 0.0000
Si5 0.6211 0.7301 0.0000
Si6 0.7301 0.3789 0.0000
Si7 0.7699 0.8789 0.5000
Si8 0.8789 0.2301 0.5000
N1 0.0623 0.2049 0.5000
N2 0.1750 0.6750 0.2500
N3 0.1750 0.6750 0.7500
N4 0.2049 0.9377 0.5000
N5 0.2951 0.4377 0.0000
N6 0.3250 0.1750 0.2500
N7 0.3250 0.1750 0.7500
N8 0.4377 0.7049 0.0000
N9 0.5623 0.2951 0.0000
N10 0.6750 0.8250 0.2500
N11 0.6750 0.8250 0.7500
N12 0.7049 0.5623 0.0000
N13 0.7951 0.0623 0.5000
N14 0.8250 0.3250 0.2500
N15 0.8250 0.3250 0.7500
N16 0.9377 0.7951 0.5000
O1 0.0000 0.0000 0.0000
O2 0.5000 0.5000 0.5000

***

Entry 9:
The following is a PBE calculation of a geometry-optimized Pr6SmDyHo2 structure, from Alexandria.

Computed properties:
**Raw total energy**: -4.60 eV per atom
**Calculated volume**: 347 Å³/f.u.

Unit cell a=9.0031 b=9.0031 c=9.7408 alpha=93.92 beta=93.92 gamma=117.40
Sites, in units of the cell vectors:
Pr1 0.0074 0.5633 0.1876
Pr2 0.1138 0.7601 0.5544
Pr3 0.2399 0.8862 0.9456
Pr4 0.2948 0.5115 0.3820
Pr5 0.4367 0.9926 0.3124
Pr6 0.4885 0.7052 0.1180
Pr7 0.5115 0.2948 0.8820
Pr8 0.5633 0.0074 0.6876
Pr9 0.7052 0.4885 0.6180
Pr10 0.7601 0.1138 0.0544
Pr11 0.8862 0.2399 0.4456
Pr12 0.9926 0.4367 0.8124
Sm1 0.0277 0.9723 0.2500
Sm2 0.9723 0.0277 0.7500
Dy1 0.4109 0.5891 0.7500
Dy2 0.5891 0.4109 0.2500
Ho1 0.2004 0.2966 0.0471
Ho2 0.2966 0.2004 0.5471
Ho3 0.7034 0.7996 0.4529
Ho4 0.7996 0.7034 0.9529

***

Entry 10:
The following is a PBE calculation of a geometry-optimized Ac3CoTeBr structure, from Alexandria.

Computed properties:
**Raw total energy**: -4.81 eV per atom
**Calculated volume**: 205 Å³/f.u.

Unit cell a=9.3562 b=4.3600 c=10.2749 alpha=90.00 beta=102.60 gamma=90.00
Sites, in units of the cell vectors:
Ac1 0.0481 0.2500 0.3495
Ac2 0.2124 0.2500 0.9806
Ac3 0.3595 0.7500 0.5951
Ac4 0.6405 0.2500 0.4049
Ac5 0.7876 0.7500 0.0194
Ac6 0.9519 0.7500 0.6505
Co1 0.1643 0.2500 0.6209
Co2 0.8357 0.7500 0.3791
Te1 0.3084 0.7500 0.2512
Te2 0.6916 0.2500 0.7488
Br1 0.4107 0.7500 0.8944
Br2 0.5893 0.2500 0.1056

***

Entry 11:
The following is a PBE calculation of a geometry-optimized K2CaW structure, from Alexandria.

Computed properties:
**Offset from the most stable computed form**: 293 meV/atom
**Raw total energy**: -2.91 eV per atom
**Calculated volume**: 124 Å³/f.u.

Unit cell a=13.7154 b=13.7154 c=13.7154 alpha=13.59 beta=13.59 gamma=13.59
Sites, in units of the cell vectors:
K1 0.2398 0.2398 0.2398
K2 0.7602 0.7602 0.7602
Ca1 0.0000 0.0000 0.0000
W1 0.5000 0.5000 0.5000